Computed, not measured: a relaxed Sr2SeI crystal at the PBE-GGA level of DFT. Values from VASP.

Quantum ESPRESSO input file:
```
&SYSTEM
  ibrav = 0, nat = 4, ntyp = 3
/
ATOMIC_SPECIES
I 126.90 I.upf
Sr 87.62 Sr.upf
Se 78.96 Se.upf
ATOMIC_POSITIONS crystal
I 0.500 0.500 0.500
Sr 0.250 0.250 0.250
Sr 0.750 0.750 0.750
Se 0.000 0.000 0.000
CELL_PARAMETERS angstrom
5.140 -1.574 1.602
0.886 -5.222 1.848
2.926 -3.623 -3.127
```

Excess energy over the best structure of this formula in the dataset ... 242.7 meV per atom
Raw formation energy ... -1.3429 eV per atom

=====

Computed, not measured: a relaxed MgMn2Ag crystal at the PBE-GGA level of DFT. Values from VASP.

Quantum ESPRESSO input file:
```
&SYSTEM
  ibrav = 0, nat = 4, ntyp = 3
/
ATOMIC_SPECIES
Ag 107.87 Ag.upf
Mg 24.30 Mg.upf
Mn 54.94 Mn.upf
ATOMIC_POSITIONS crystal
Ag 0.502 0.502 0.502
Mg 0.748 0.748 0.748
Mn 0.996 0.996 0.996
Mn 0.254 0.254 0.254
CELL_PARAMETERS angstrom
9.330 0.003 0.002
8.885 2.848 0.002
8.885 1.391 2.485
```

Energy relative to the elements ... 0.292 eV/atom

=====

Computed, not measured: a relaxed MnIrPd3 crystal at the PBE-GGA level of DFT. Values from VASP.

Quantum ESPRESSO input file:
```
&SYSTEM
  ibrav = 0, nat = 5, ntyp = 3
/
ATOMIC_SPECIES
Mn 54.94 Mn.upf
Ir 192.22 Ir.upf
Pd 106.42 Pd.upf
ATOMIC_POSITIONS crystal
Mn 0.500 0.500 0.500
Ir 0.000 0.000 0.000
Pd 0.000 0.500 0.000
Pd 0.000 0.000 0.500
Pd 0.500 0.000 0.000
CELL_PARAMETERS angstrom
4.832 0.000 0.000
0.000 4.832 0.000
0.000 0.000 4.832
```

Excess energy over the best structure of this formula in the dataset ... 0.0 meV per atom
Energy relative to the elements ... 1.210 eV/atom

=====

Computed, not measured: a relaxed CoAgTe2N crystal at the PBE-GGA level of DFT. Values from VASP.

Quantum ESPRESSO input file:
```
&SYSTEM
  ibrav = 0, nat = 5, ntyp = 4
/
ATOMIC_SPECIES
Te 127.60 Te.upf
Co 58.93 Co.upf
Ag 107.87 Ag.upf
N 14.01 N.upf
ATOMIC_POSITIONS crystal
Te 0.000 0.500 0.000
Te 0.500 0.000 0.000
Co 0.500 0.500 0.500
Ag 0.000 0.000 0.000
N 0.000 0.000 0.500
CELL_PARAMETERS angstrom
-1.269 3.827 3.709
-4.842 0.765 -2.446
-1.539 -2.658 2.216
```

Excess energy over the best structure of this formula in the dataset ... 1308.8 meV per atom
Raw formation energy ... 1.5992 eV per atom

=====

Computed, not measured: a relaxed Sm3Pu crystal at the PBE-GGA level of DFT. Values from VASP.

Quantum ESPRESSO input file:
```
&SYSTEM
  ibrav = 0, nat = 4, ntyp = 2
/
ATOMIC_SPECIES
Sm 150.36 Sm.upf
Pu 244.00 Pu.upf
ATOMIC_POSITIONS crystal
Sm 0.256 0.592 0.512
Sm 0.500 0.492 0.000
Sm 0.744 0.080 0.488
Pu 0.000 0.003 0.000
CELL_PARAMETERS angstrom
-0.873 -2.649 -2.257
5.910 -2.003 0.065
-3.732 -1.107 5.595
```

Excess energy over the best structure of this formula in the dataset ... 14.6 meV per atom
Energy relative to the elements ... 0.123 eV/atom

=====

Computed, not measured: a relaxed CsNa2TbCl6 crystal at the PBE-GGA level of DFT. Values from VASP.

Quantum ESPRESSO input file:
```
&SYSTEM
  ibrav = 0, nat = 10, ntyp = 4
/
ATOMIC_SPECIES
Cs 132.91 Cs.upf
Na 22.99 Na.upf
Tb 158.93 Tb.upf
Cl 35.45 Cl.upf
ATOMIC_POSITIONS crystal
Cs 0.792 0.792 0.625
Na 0.522 0.522 0.435
Na 0.002 0.002 0.993
Tb 0.326 0.326 0.022
Cl 0.574 0.263 0.222
Cl 0.262 0.941 0.222
Cl 0.941 0.574 0.222
Cl 0.314 0.725 0.758
Cl 0.725 0.202 0.758
Cl 0.203 0.314 0.758
CELL_PARAMETERS angstrom
7.309 0.001 -0.001
3.655 6.331 -0.001
3.654 2.110 6.725
```

Raw formation energy ... -2.0474 eV per atom

=====

Computed, not measured: a relaxed Na3La2TmS6 crystal at the PBE-GGA level of DFT. Values from VASP.

Quantum ESPRESSO input file:
```
&SYSTEM
  ibrav = 0, nat = 12, ntyp = 4
/
ATOMIC_SPECIES
Na 22.99 Na.upf
La 138.91 La.upf
Tm 168.93 Tm.upf
S 32.06 S.upf
ATOMIC_POSITIONS crystal
Na 0.165 0.835 0.500
Na 0.835 0.165 0.500
Na 0.500 0.500 0.500
La 0.333 0.667 0.000
La 0.667 0.333 0.000
Tm 0.000 0.000 0.000
S 0.923 0.605 0.769
S 0.758 0.758 0.228
S 0.077 0.395 0.231
S 0.605 0.923 0.769
S 0.242 0.242 0.772
S 0.395 0.077 0.231
CELL_PARAMETERS angstrom
-4.737 -5.369 -0.052
4.193 1.131 -5.692
4.779 -2.668 4.492
```

Raw formation energy ... -1.8474 eV per atom

=====

Computed, not measured: a relaxed Ac4PdPtSe2 crystal at the PBE-GGA level of DFT. Values from VASP.

Quantum ESPRESSO input file:
```
&SYSTEM
  ibrav = 0, nat = 8, ntyp = 4
/
ATOMIC_SPECIES
Ac 227.00 Ac.upf
Pd 106.42 Pd.upf
Pt 195.08 Pt.upf
Se 78.96 Se.upf
ATOMIC_POSITIONS crystal
Ac 0.000 0.728 0.760
Ac 0.000 0.272 0.240
Ac 0.500 0.730 0.255
Ac 0.500 0.270 0.745
Pd 0.000 0.500 0.500
Pt 0.500 0.500 0.000
Se 0.000 0.000 0.000
Se 0.500 0.000 0.500
CELL_PARAMETERS angstrom
-2.760 0.305 -3.352
-4.383 -6.231 3.041
-5.259 2.903 4.594
```

Raw formation energy ... -1.4091 eV per atom

=====

Computed, not measured: a relaxed CaMg2In6 crystal at the PBE-GGA level of DFT. Values from VASP.

Quantum ESPRESSO input file:
```
&SYSTEM
  ibrav = 0, nat = 18, ntyp = 3
/
ATOMIC_SPECIES
Ca 40.08 Ca.upf
Mg 24.30 Mg.upf
In 114.82 In.upf
ATOMIC_POSITIONS crystal
Ca 0.250 0.124 0.876
Ca 0.750 0.876 0.124
Mg 0.140 0.667 0.731
Mg 0.360 0.269 0.333
Mg 0.860 0.333 0.269
Mg 0.640 0.731 0.667
In 0.489 0.613 0.336
In 0.011 0.664 0.387
In 0.511 0.387 0.664
In 0.989 0.336 0.613
In 0.702 0.056 0.475
In 0.798 0.525 0.944
In 0.298 0.944 0.525
In 0.202 0.475 0.056
In 0.360 0.759 0.989
In 0.140 0.011 0.241
In 0.640 0.241 0.011
In 0.860 0.989 0.759
CELL_PARAMETERS angstrom
-1.809 -3.131 -5.636
7.378 -3.729 -2.620
-3.024 -7.604 2.870
```

Energy relative to the elements ... -0.113 eV/atom

=====

Computed, not measured: a relaxed Dy3Ho2Ga4 crystal at the PBE-GGA level of DFT. Values from VASP.

Quantum ESPRESSO input file:
```
&SYSTEM
  ibrav = 0, nat = 18, ntyp = 3
/
ATOMIC_SPECIES
Dy 162.50 Dy.upf
Ho 164.93 Ho.upf
Ga 69.72 Ga.upf
ATOMIC_POSITIONS crystal
Dy 0.000 0.500 0.500
Dy 0.500 0.500 0.000
Dy 0.753 0.237 0.827
Dy 0.747 0.763 0.327
Dy 0.247 0.763 0.173
Dy 0.253 0.237 0.673
Ho 0.571 0.186 0.311
Ho 0.929 0.814 0.811
Ho 0.429 0.814 0.689
Ho 0.071 0.186 0.189
Ga 0.860 0.082 0.529
Ga 0.640 0.918 0.029
Ga 0.140 0.918 0.471
Ga 0.360 0.082 0.971
Ga 0.881 0.483 0.128
Ga 0.619 0.517 0.628
Ga 0.119 0.517 0.872
Ga 0.381 0.483 0.372
CELL_PARAMETERS angstrom
-0.503 -7.184 1.066
3.162 0.940 -7.242
7.338 -0.039 3.199
```

Excess energy over the best structure of this formula in the dataset ... 0.0 meV per atom
Energy relative to the elements ... -0.563 eV/atom

=====

Computed, not measured: a relaxed KRuC2 crystal at the PBE-GGA level of DFT. Values from VASP.

Quantum ESPRESSO input file:
```
&SYSTEM
  ibrav = 0, nat = 8, ntyp = 3
/
ATOMIC_SPECIES
Ru 101.07 Ru.upf
K 39.10 K.upf
C 12.01 C.upf
ATOMIC_POSITIONS crystal
Ru 0.000 0.000 0.000
Ru 0.750 0.250 0.500
K 0.500 0.500 0.000
K 0.250 0.750 0.500
C 0.875 0.125 0.250
C 0.875 0.625 0.250
C 0.375 0.125 0.750
C 0.875 0.125 0.750
CELL_PARAMETERS angstrom
-3.323 2.759 4.284
-2.578 -5.321 1.428
0.201 -2.023 5.778
```

Excess energy over the best structure of this formula in the dataset ... 0.0 meV per atom
Energy relative to the elements ... 0.663 eV/atom

=====

Computed, not measured: a relaxed Tc2TeCl crystal at the PBE-GGA level of DFT. Values from VASP.

Quantum ESPRESSO input file:
```
&SYSTEM
  ibrav = 0, nat = 4, ntyp = 3
/
ATOMIC_SPECIES
Cl 35.45 Cl.upf
Tc 98.00 Tc.upf
Te 127.60 Te.upf
ATOMIC_POSITIONS crystal
Cl 0.250 0.250 0.250
Tc 0.002 0.002 0.032
Tc 0.498 0.498 0.468
Te 0.750 0.750 0.750
CELL_PARAMETERS angstrom
-3.008 -1.538 -2.796
-0.290 -2.994 -3.191
-1.943 -4.352 2.674
```

Excess energy over the best structure of this formula in the dataset ... 571.1 meV per atom
Raw formation energy ... 0.5395 eV per atom